No. 1
The following is a PBE-GGA calculation of crystalline Al2CuSi at its relaxed geometry, from the Alexandria database.

abc: 3.9208 3.9208 9.9826
angles: 90.00 90.00 60.01
Fractional coordinates of all 8 atoms:
Al  0.6665  0.6665  0.5833
Al  0.6667  0.6667  0.0795
Al  0.3333  0.3333  0.9205
Al  0.3335  0.3335  0.4167
Si  0.0003  0.0003  0.2394
Si  0.9997  0.9997  0.7606
Cu  0.6669  0.6669  0.3264
Cu  0.3331  0.3331  0.6736

Properties
Its crystal system is trigonal. For the total magnetization, the calculation gives 0.00 μB per cell. As for the uncorrected formation energy: 0.016 eV per atom.


No. 2
The following is a PBE-GGA calculation of crystalline Mo2Pt at its relaxed geometry, from the Alexandria database.

abc: 4.9923 4.9923 4.3965
angles: 90.00 90.00 120.59
Fractional coordinates of all 6 atoms:
Mo  0.8382  0.4957  0.7500
Mo  0.1618  0.5043  0.2500
Mo  0.5043  0.1618  0.2500
Mo  0.4957  0.8382  0.7500
Pt  0.1652  0.1652  0.7500
Pt  0.8348  0.8348  0.2500

Properties
The formation enthalpy at 0 K is -0.115 eV/atom. Its crystal system is orthorhombic. The calculation puts the offset from the most stable computed form at 0.0491 eV/atom. For the total magnetization, the calculation gives 0.00 μB per cell.


No. 3
The following is a PBE-GGA calculation of crystalline AlPdRh3 at its relaxed geometry, from the Alexandria database.

abc: 4.4274 4.4274 4.4274
angles: 90.00 90.00 90.00
Fractional coordinates of all 5 atoms:
Rh  0.5000  0.0000  0.0000
Rh  0.0000  0.0000  0.5000
Rh  0.0000  0.5000  0.0000
Pd  0.5000  0.5000  0.5000
Al  0.0000  0.0000  0.0000

Properties
The formation enthalpy at 0 K is 0.681 eV/atom. Its crystal system is cubic. The calculation puts the offset from the most stable computed form at 0.0000 eV/atom. For the total magnetization, the calculation gives 2.37 μB per cell.


No. 4
The following is a PBE-GGA calculation of crystalline AsRu3 at its relaxed geometry, from the Alexandria database.

abc: 8.4611 8.4611 8.4611
angles: 19.21 19.21 19.21
Fractional coordinates of all 4 atoms:
As  0.0000  0.0000  0.0000
Ru  0.2531  0.2531  0.2531
Ru  0.5000  0.5000  0.5000
Ru  0.7469  0.7469  0.7469

Properties
The formation enthalpy at 0 K is 0.172 eV/atom. Its crystal system is trigonal. The calculation puts the offset from the most stable computed form at 0.1077 eV/atom. For the total magnetization, the calculation gives 0.00 μB per cell.


No. 5
The following is a PBE-GGA calculation of crystalline Ca2EuHo at its relaxed geometry, from the Alexandria database.

abc: 5.9869 5.9869 5.9869
angles: 60.00 60.00 60.00
Fractional coordinates of all 4 atoms:
Ca  0.7500  0.7500  0.7500
Ca  0.2500  0.2500  0.2500
Ho  0.5000  0.5000  0.5000
Eu  0.0000  0.0000  0.0000

Properties
The formation enthalpy at 0 K is 0.138 eV/atom. Its crystal system is cubic. The calculation puts the offset from the most stable computed form at 0.0016 eV/atom. For the total magnetization, the calculation gives 7.56 μB per cell.


No. 6
The following is a PBE-GGA calculation of crystalline KPaS2 at its relaxed geometry, from the Alexandria database.

abc: 3.4838 3.4838 7.6428
angles: 90.00 90.00 90.00
Fractional coordinates of all 4 atoms:
S  0.0000  0.0000  0.7944
S  0.0000  0.0000  0.2056
K  0.5000  0.5000  0.5000
Pa  0.5000  0.5000  0.0000

Properties
Its crystal system is tetragonal. For the total magnetization, the calculation gives 1.44 μB per cell. As for the uncorrected formation energy: -1.379 eV per atom.


> Which value of total magnetization does entry 1 give?

0.00 μB per cell


> Number 4 is which compound?

AsRu3


> Which formula does entry 5 have?

Ca2EuHo